No. 1
## Sr2HoGa3Au12 (GGA-PBE)

Data for a relaxed Sr2HoGa3Au12 crystal.

For the total energy, the calculation gives -3.435 eV/atom. The calculation puts the total magnetic moment at 0.00 μB per formula unit. The value obtained for the energy of formation from the pure elements is -5.47 eV per formula unit. Its density of states at the Fermi level is 21.21 states/eV/cell. Its mass density is 11.37 Mg/m³.

It has space group R-3m (No. 166, hexagonal axes), with a = 6.8597 Å, b = 6.8597 Å, c = 31.3233 Å, α = 90.00°, β = 90.00° and γ = 120.00°. The inequivalent atoms are Sr at (0.0000, 0.0000, 0.1374), Ho at (0.0000, 0.0000, 0.5000), Ga at (0.0000, 0.5000, 0.0000), Au at (0.0419, 0.5209, 0.8920) and Au at (0.0599, 0.5299, 0.6224).

=====

No. 2
## TbHoGaAu (GGA-PBE)

Data for a relaxed TbHoGaAu crystal.

For the total energy, the calculation gives -4.599 eV/atom. The calculation puts the total magnetic moment at 0.00 μB per formula unit. The value obtained for the energy of formation from the pure elements is -2.88 eV per formula unit. Its density of states at the Fermi level is 6.87 states/eV/cell. Its mass density is 10.24 Mg/m³.

It has space group Amm2 (No. 38), with a = 4.532 Å, b = 3.791 Å, c = 11.152 Å, α = 90.00°, β = 90.00° and γ = 90.00°. The inequivalent atoms are Tb at (0.000, 0.000, 0.000), Ho at (0.500, 0.000, 0.288), Ga at (0.000, 0.000, 0.727) and Au at (0.500, 0.000, 0.566).

=====

No. 3
## TbHoGaAu (GGA-PBE)

Data for a relaxed TbHoGaAu crystal.

For the total energy, the calculation gives -4.574 eV/atom. The calculation puts the total magnetic moment at 0.00 μB per formula unit. The value obtained for the energy of formation from the pure elements is -2.78 eV per formula unit. Its density of states at the Fermi level is 11.37 states/eV/cell. Its mass density is 10.45 Mg/m³.

It has space group F-43m (No. 216), with a = 7.214 Å, b = 7.214 Å, c = 7.214 Å, α = 90.00°, β = 90.00° and γ = 90.00°. The inequivalent atoms are Tb at (0.000, 0.000, 0.000), Ho at (0.000, 0.000, 0.500), Ga at (0.250, 0.250, 0.250) and Au at (0.250, 0.250, 0.750).

=====

No. 4
## HoThGaAu (GGA-PBE)

Data for a relaxed HoThGaAu crystal.

For the total energy, the calculation gives -5.204 eV/atom. The calculation puts the total magnetic moment at 0.00 μB per formula unit. The value obtained for the energy of formation from the pure elements is -2.51 eV per formula unit. Its density of states at the Fermi level is 6.91 states/eV/cell. Its mass density is 10.97 Mg/m³.

It has space group Amm2 (No. 38), with a = 4.454 Å, b = 4.040 Å, c = 11.173 Å, α = 90.00°, β = 90.00° and γ = 90.00°. The inequivalent atoms are Ho at (0.000, 0.000, 0.000), Th at (0.500, 0.000, 0.719), Ga at (0.000, 0.000, 0.284) and Au at (0.500, 0.000, 0.444).

=====

No. 5
## HoThGaAu (GGA-PBE)

Data for a relaxed HoThGaAu crystal.

For the total energy, the calculation gives -5.122 eV/atom. The calculation puts the total magnetic moment at 0.88 μB per formula unit. The value obtained for the energy of formation from the pure elements is -2.19 eV per formula unit. Its density of states at the Fermi level is 16.77 states/eV/cell. Its mass density is 11.18 Mg/m³.

It has space group F-43m (No. 216), with a = 7.332 Å, b = 7.332 Å, c = 7.332 Å, α = 90.00°, β = 90.00° and γ = 90.00°. The inequivalent atoms are Ho at (0.000, 0.000, 0.000), Th at (0.000, 0.000, 0.500), Ga at (0.250, 0.250, 0.250) and Au at (0.250, 0.250, 0.750).

=====

No. 6
## HoThGa2Au2 (GGA-PBE)

Data for a relaxed HoThGa2Au2 crystal.

For the total energy, the calculation gives -4.829 eV/atom. The calculation puts the total magnetic moment at 0.00 μB per formula unit. The value obtained for the energy of formation from the pure elements is -4.37 eV per formula unit. Its density of states at the Fermi level is 3.93 states/eV/cell. Its mass density is 11.70 Mg/m³.

It has space group P-3m1 (No. 164), with a = 4.5286 Å, b = 4.5286 Å, c = 7.4368 Å, α = 90.00°, β = 90.00° and γ = 120.00°. The inequivalent atoms are Ho at (0.0000, 0.0000, 0.0000), Th at (0.0000, 0.0000, 0.5000), Ga at (0.3333, 0.6667, 0.2448) and Au at (0.3333, 0.6667, 0.7763).

=====

No. 7
## HoTiGaAu (GGA-PBE)

Data for a relaxed HoTiGaAu crystal.

For the total energy, the calculation gives -5.144 eV/atom. The calculation puts the total magnetic moment at 1.47 μB per formula unit. The value obtained for the energy of formation from the pure elements is -1.80 eV per formula unit. Its density of states at the Fermi level is 10.47 states/eV/cell. Its mass density is 9.93 Mg/m³.

It has space group F-43m (No. 216), with a = 6.846 Å, b = 6.846 Å, c = 6.846 Å, α = 90.00°, β = 90.00° and γ = 90.00°. The inequivalent atoms are Ho at (0.000, 0.000, 0.000), Ti at (0.000, 0.000, 0.500), Ga at (0.250, 0.250, 0.250) and Au at (0.250, 0.250, 0.750).

=====

No. 8
## Ho2Tm2Ga4Au (GGA-PBE)

Data for a relaxed Ho2Tm2Ga4Au crystal.

For the total energy, the calculation gives -4.057 eV/atom. The calculation puts the total magnetic moment at 0.00 μB per formula unit. The value obtained for the energy of formation from the pure elements is -3.03 eV per formula unit. Its density of states at the Fermi level is 13.19 states/eV/cell. Its mass density is 8.85 Mg/m³.

It has space group I4/mmm (No. 139), with a = 6.992 Å, b = 6.992 Å, c = 8.773 Å, α = 90.00°, β = 90.00° and γ = 90.00°. The inequivalent atoms are Ho at (0.000, 0.500, 0.250), Tm at (0.000, 0.000, 0.186), Ga at (0.245, 0.245, 0.000) and Au at (0.000, 0.000, 0.500).

=====

No. 9
## HoTmGaAu (GGA-PBE)

Data for a relaxed HoTmGaAu crystal.

For the total energy, the calculation gives -4.549 eV/atom. The calculation puts the total magnetic moment at 0.00 μB per formula unit. The value obtained for the energy of formation from the pure elements is -2.84 eV per formula unit. Its density of states at the Fermi level is 8.92 states/eV/cell. Its mass density is 10.94 Mg/m³.

It has space group F-43m (No. 216), with a = 7.144 Å, b = 7.144 Å, c = 7.144 Å, α = 90.00°, β = 90.00° and γ = 90.00°. The inequivalent atoms are Ho at (0.000, 0.000, 0.000), Tm at (0.000, 0.000, 0.500), Ga at (0.250, 0.250, 0.250) and Au at (0.250, 0.250, 0.750).

=====

No. 10
## HoTmGaAu (GGA-PBE)

Data for a relaxed HoTmGaAu crystal.

For the total energy, the calculation gives -4.570 eV/atom. The calculation puts the total magnetic moment at 0.00 μB per formula unit. The value obtained for the energy of formation from the pure elements is -2.93 eV per formula unit. Its density of states at the Fermi level is 6.21 states/eV/cell. Its mass density is 10.70 Mg/m³.

It has space group Amm2 (No. 38), with a = 4.511 Å, b = 3.739 Å, c = 11.054 Å, α = 90.00°, β = 90.00° and γ = 90.00°. The inequivalent atoms are Ho at (0.000, 0.000, 0.000), Tm at (0.500, 0.000, 0.711), Ga at (0.000, 0.000, 0.272) and Au at (0.500, 0.000, 0.434).

=====

What did the fifth record say?
## HoThGaAu (GGA-PBE)

Data for a relaxed HoThGaAu crystal.

For the total energy, the calculation gives -5.122 eV/atom. The calculation puts the total magnetic moment at 0.88 μB per formula unit. The value obtained for the energy of formation from the pure elements is -2.19 eV per formula unit. Its density of states at the Fermi level is 16.77 states/eV/cell. Its mass density is 11.18 Mg/m³.

It has space group F-43m (No. 216), with a = 7.332 Å, b = 7.332 Å, c = 7.332 Å, α = 90.00°, β = 90.00° and γ = 90.00°. The inequivalent atoms are Ho at (0.000, 0.000, 0.000), Th at (0.000, 0.000, 0.500), Ga at (0.250, 0.250, 0.250) and Au at (0.250, 0.250, 0.750).

=====

- What is the mass density in the eighth record?
  8.85 Mg/m³